Arrangement P

Compound: PmNd2Dy8
Source: Alexandria
Functional: GGA-PBE
Structure: optimized geometry

## Properties
Its space group is Immm, No. 71. The crystal system is orthorhombic.

Cell lengths 9.412, 9.412, 9.412 Å; angles 145.71, 128.72, 63.14 degrees
Positions (direct):
Pm (0.000, 0.000, 0.000)
Nd (0.300, 0.300, 0.000)
Nd (0.700, 0.700, 0.000)
Dy (0.155, 0.862, 0.293)
Dy (0.161, 0.661, 0.500)
Dy (0.294, 0.500, 0.794)
Dy (0.430, 0.138, 0.293)
Dy (0.570, 0.862, 0.707)
Dy (0.706, 0.500, 0.206)
Dy (0.839, 0.339, 0.500)
Dy (0.845, 0.138, 0.707)


Arrangement Q

Compound: PmNd2Dy8
Source: Alexandria
Functional: GGA-PBE
Structure: optimized geometry

## Properties
Its space group is C2/m, No. 12. The crystal system is monoclinic.

Cell lengths 10.125, 10.125, 5.587 Å; angles 92.62, 92.62, 40.67 degrees
Positions (direct):
Pm (0.000, 0.000, 0.000)
Nd (0.284, 0.284, 0.748)
Nd (0.716, 0.716, 0.252)
Dy (0.137, 0.603, 0.267)
Dy (0.186, 0.186, 0.233)
Dy (0.397, 0.863, 0.733)
Dy (0.454, 0.454, 0.762)
Dy (0.546, 0.546, 0.238)
Dy (0.603, 0.137, 0.267)
Dy (0.814, 0.814, 0.767)
Dy (0.863, 0.397, 0.733)


Result of the stability comparison: arrangement Q is the least stable of them.


Arrangement P

Compound: Pm5NdDy4
Source: Alexandria
Functional: GGA-PBE
Structure: optimized geometry

## Properties
Its space group is C2/m, No. 12. The crystal system is monoclinic.

Cell lengths 8.797, 8.797, 11.520 Å; angles 108.71, 108.71, 23.38 degrees
Positions (direct):
Pm (0.000, 0.000, 0.000)
Pm (0.290, 0.290, 0.885)
Pm (0.310, 0.310, 0.420)
Pm (0.690, 0.690, 0.580)
Pm (0.710, 0.710, 0.115)
Nd (0.000, 0.000, 0.500)
Dy (0.105, 0.105, 0.297)
Dy (0.417, 0.417, 0.208)
Dy (0.583, 0.583, 0.792)
Dy (0.895, 0.895, 0.703)


Arrangement Q

Compound: Pm5NdDy4
Source: Alexandria
Functional: GGA-PBE
Structure: optimized geometry

## Properties
Its space group is C2/m, No. 12. The crystal system is monoclinic.

Cell lengths 9.286, 9.286, 10.542 Å; angles 96.04, 96.04, 22.32 degrees
Positions (direct):
Pm (0.000, 0.000, 0.000)
Pm (0.311, 0.311, 0.905)
Pm (0.358, 0.358, 0.267)
Pm (0.642, 0.642, 0.733)
Pm (0.689, 0.689, 0.095)
Nd (0.000, 0.000, 0.500)
Dy (0.183, 0.183, 0.410)
Dy (0.454, 0.454, 0.740)
Dy (0.546, 0.546, 0.260)
Dy (0.817, 0.817, 0.590)


Result of the stability comparison: arrangement Q is the least stable of them.


Arrangement P

Compound: Pm3Nd2Dy3
Source: Alexandria
Functional: GGA-PBE
Structure: optimized geometry

## Properties
Its space group is Immm, No. 71. The crystal system is orthorhombic.

Cell lengths 10.844, 10.844, 10.844 Å; angles 152.73, 152.71, 38.96 degrees
Positions (direct):
Pm (0.000, 0.000, 0.000)
Pm (0.377, 0.877, 0.500)
Pm (0.623, 0.123, 0.500)
Nd (0.250, 0.250, 0.000)
Nd (0.750, 0.750, 0.000)
Dy (0.124, 0.624, 0.500)
Dy (0.500, 0.500, 0.000)
Dy (0.876, 0.376, 0.500)


Arrangement Q

Compound: Pm3Nd2Dy3
Source: Alexandria
Functional: GGA-PBE
Structure: optimized geometry

## Properties
Its space group is Cmcm, No. 63. The crystal system is orthorhombic.

Cell lengths 6.626, 6.626, 16.146 Å; angles 90.00, 90.00, 129.70 degrees
Positions (direct):
Pm (0.076, 0.924, 0.594)
Pm (0.076, 0.924, 0.906)
Pm (0.265, 0.735, 0.750)
Pm (0.735, 0.265, 0.250)
Pm (0.924, 0.076, 0.094)
Pm (0.924, 0.076, 0.406)
Nd (0.221, 0.779, 0.128)
Nd (0.221, 0.779, 0.372)
Nd (0.779, 0.221, 0.628)
Nd (0.779, 0.221, 0.872)
Dy (0.381, 0.619, 0.550)
Dy (0.381, 0.619, 0.950)
Dy (0.460, 0.540, 0.250)
Dy (0.540, 0.460, 0.750)
Dy (0.619, 0.381, 0.050)
Dy (0.619, 0.381, 0.450)


Result of the stability comparison: arrangement Q is the least stable of them.


Arrangement P

Compound: PmNd4Dy5
Source: Alexandria
Functional: GGA-PBE
Structure: optimized geometry

## Properties
Its space group is P4/mmm, No. 123. The crystal system is tetragonal.

Cell lengths 3.622, 3.622, 25.326 Å; angles 90.00, 90.00, 90.00 degrees
Positions (direct):
Pm (0.000, 0.000, 0.000)
Nd (0.000, 0.000, 0.200)
Nd (0.000, 0.000, 0.400)
Nd (0.000, 0.000, 0.600)
Nd (0.000, 0.000, 0.800)
Dy (0.500, 0.500, 0.099)
Dy (0.500, 0.500, 0.300)
Dy (0.500, 0.500, 0.500)
Dy (0.500, 0.500, 0.700)
Dy (0.500, 0.500, 0.901)


Arrangement Q

Compound: PmNd4Dy5
Source: Alexandria
Functional: GGA-PBE
Structure: optimized geometry

## Properties
Its space group is P-1, No. 2. The crystal system is triclinic.

Cell lengths 3.555, 8.826, 11.283 Å; angles 89.85, 89.98, 78.42 degrees
Positions (direct):
Pm (0.000, 0.000, 0.000)
Nd (0.158, 0.688, 0.250)
Nd (0.470, 0.063, 0.252)
Nd (0.530, 0.937, 0.748)
Nd (0.842, 0.312, 0.750)
Dy (0.000, 0.000, 0.500)
Dy (0.324, 0.349, 0.053)
Dy (0.326, 0.347, 0.451)
Dy (0.674, 0.653, 0.549)
Dy (0.676, 0.651, 0.947)


Result of the stability comparison: arrangement Q is the least stable of them.


Arrangement P

Compound: Pm2Nd12Dy5
Source: Alexandria
Functional: GGA-PBE
Structure: optimized geometry

## Properties
Its space group is C2/m, No. 12. The crystal system is monoclinic.

Cell lengths 10.792, 10.792, 6.264 Å; angles 100.53, 100.53, 66.18 degrees
Positions (direct):
Pm (0.227, 0.773, 0.000)
Pm (0.773, 0.227, 0.000)
Nd (0.060, 0.543, 0.800)
Nd (0.122, 0.122, 0.998)
Nd (0.146, 0.646, 0.385)
Nd (0.354, 0.854, 0.615)
Nd (0.444, 0.444, 0.726)
Nd (0.457, 0.940, 0.200)
Nd (0.543, 0.060, 0.800)
Nd (0.556, 0.556, 0.274)
Nd (0.646, 0.146, 0.385)
Nd (0.854, 0.354, 0.615)
Nd (0.878, 0.878, 0.002)
Nd (0.940, 0.457, 0.200)
Dy (0.000, 0.000, 0.500)
Dy (0.214, 0.214, 0.550)
Dy (0.322, 0.322, 0.142)
Dy (0.678, 0.678, 0.858)
Dy (0.786, 0.786, 0.450)


Arrangement Q

Compound: Pm2Nd12Dy5
Source: Alexandria
Functional: GGA-PBE
Structure: optimized geometry

## Properties
Its space group is C2/m, No. 12. The crystal system is monoclinic.

Cell lengths 9.508, 9.508, 8.054 Å; angles 91.13, 91.13, 65.12 degrees
Positions (direct):
Pm (0.233, 0.767, 0.000)
Pm (0.767, 0.233, 0.000)
Nd (0.039, 0.579, 0.207)
Nd (0.156, 0.156, 0.121)
Nd (0.168, 0.621, 0.611)
Nd (0.379, 0.832, 0.389)
Nd (0.421, 0.961, 0.793)
Nd (0.448, 0.448, 0.288)
Nd (0.552, 0.552, 0.712)
Nd (0.579, 0.039, 0.207)
Nd (0.621, 0.168, 0.611)
Nd (0.832, 0.379, 0.389)
Nd (0.844, 0.844, 0.879)
Nd (0.961, 0.421, 0.793)
Dy (0.000, 0.000, 0.500)
Dy (0.247, 0.247, 0.489)
Dy (0.352, 0.352, 0.916)
Dy (0.648, 0.648, 0.084)
Dy (0.753, 0.753, 0.511)


Result of the stability comparison: arrangement Q is the least stable of them.